The following is a PBE calculation of crystalline Ca3Sm2Hg4 at its relaxed geometry, from the Alexandria database.

Unit cell a=5.3146 b=5.3176 c=10.5030 alpha=89.96 beta=90.00 gamma=60.02
With the nearest neighbours (Å) after each atom.
Fractional positions:
Ca (0.0000, 0.0000, 0.0000)  8 Hg 3.25-3.46
Ca (0.3337, 0.3326, 0.4116)  4 Hg 3.19-3.24
Sm (0.6670, 0.6660, 0.2032)  7 Hg 3.22-3.34
Hg (0.9995, 0.0010, 0.6708)  4 Ca 3.19-3.46, 3 Sm 3.34
Hg (0.6663, 0.6673, 0.8966)  4 Sm 3.22-3.24, 4 Ca 3.24-3.26
Hg (0.0005, 0.9990, 0.3292)  4 Ca 3.19-3.46, 3 Sm 3.34
Hg (0.3337, 0.3327, 0.1034)  4 Sm 3.22-3.24, 4 Ca 3.24-3.26
Ca (0.6663, 0.6674, 0.5884)  4 Hg 3.19-3.24
Sm (0.3330, 0.3340, 0.7968)  7 Hg 3.22-3.34

Computed properties:
As for the density of states at the Fermi level: 0.633 states/eV/atom. The value obtained for the raw total energy is -2.290 eV per atom. Its energy of formation from the pure elements is -382 kJ/mol of formula units. As for the total magnetization: 0.00 Bohr magnetons per cell.